First-principles (PBE) data for a relaxed structure of UPd3Rh, as listed in the Alexandria database.

Lattice parameters (Å, degrees): 5.425 5.425 5.046 115.41 115.41 59.46
Atoms (fractional coordinates):
U 0.000 0.000 0.000
Pd 0.000 0.500 0.500
Pd 0.500 0.000 0.500
Pd 0.500 0.500 0.500
Rh 0.000 0.000 0.500

Output
**DOS at the Fermi energy**: 1.77 states/eV/atom
**E_form**: 92.2 meV per atom